1.
Entry from the Open Quantum Materials Database: a relaxed structure of SrZnSi2 (PBE).

Cell: 4.9301 4.9301 4.9301 Å, 60.00 60.00 60.00°
Sites, in units of the cell vectors:
Sr  0.0000  0.0000  0.0000
Zn  0.2500  0.2500  0.2500
Si  0.5000  0.5000  0.5000
Si  0.7500  0.7500  0.7500

Calculated values
* final energy: -12.83 eV per cell

***

2.
Entry from the Open Quantum Materials Database: a relaxed structure of TaAlO4 (PBE).

Cell: 4.4719 11.3022 4.7707 Å, 90.00 90.00 90.00°
Sites, in units of the cell vectors:
Ta  0.0000  0.1683  0.2500
Ta  0.0000  0.8317  0.7500
Ta  0.5000  0.3317  0.7500
Ta  0.5000  0.6683  0.2500
Al  0.0000  0.4351  0.2500
Al  0.0000  0.5649  0.7500
Al  0.5000  0.0649  0.7500
Al  0.5000  0.9351  0.2500
O  0.2271  0.3128  0.0819
O  0.2271  0.6872  0.5819
O  0.2334  0.4430  0.5758
O  0.2334  0.5570  0.0758
O  0.2666  0.0570  0.0758
O  0.2666  0.9430  0.5758
O  0.2729  0.1872  0.5819
O  0.2729  0.8128  0.0819
O  0.7271  0.1872  0.9181
O  0.7271  0.8128  0.4181
O  0.7334  0.0570  0.4242
O  0.7334  0.9430  0.9242
O  0.7666  0.4430  0.9242
O  0.7666  0.5570  0.4242
O  0.7729  0.3128  0.4181
O  0.7729  0.6872  0.9181

Calculated values
* final energy: -211.62 eV per cell

***

3.
Entry from the Open Quantum Materials Database: a relaxed structure of La2TbSb3 (PBE).

Cell: 4.5479 4.5479 11.1659 Å, 90.00 90.00 120.00°
Sites, in units of the cell vectors:
La  0.3333  0.6667  0.3279
La  0.6667  0.3333  0.6721
Tb  0.0000  0.0000  0.0000
Sb  0.0000  0.0000  0.5000
Sb  0.3333  0.6667  0.8434
Sb  0.6667  0.3333  0.1566

Calculated values
* final energy: -34.23 eV per cell

***

4.
Entry from the Open Quantum Materials Database: a relaxed structure of MgScFeSb (PBE).

Cell: 4.7503 4.7503 4.7503 Å, 60.00 60.00 60.00°
Sites, in units of the cell vectors:
Mg  0.0000  0.0000  0.0000
Sc  0.5000  0.5000  0.5000
Fe  0.7500  0.7500  0.7500
Sb  0.2500  0.2500  0.2500

Calculated values
* final energy: -20.57 eV per cell